Here is a geometry-optimized WIO2F structure from the Alexandria database. Energies are from GGA-PBEsol.

Results
VASP energy, eV per cell: -34.24

abc: 3.8005 3.8005 5.4220
angles: 90.00 90.00 90.00
Space group P4/mmm (No. 123)
Asymmetric unit:
W (0.0000, 0.0000, 0.0000) (multiplicity 1)
I (0.0000, 0.0000, 0.5000) (multiplicity 1)
O (0.0000, 0.5000, 0.0000) (multiplicity 2)
F (0.5000, 0.5000, 0.5000) (multiplicity 1)